SrPAu (GGA-PBE, relaxed); energy = -23.03 eV/cell
1.0
5.191 0.000 0.000
-2.596 4.496 0.000
0.000 0.000 6.039
Au P Sr
2 2 2
Cartesian
0.000 0.000 0.000
0.000 0.000 3.020
0.000 2.997 1.510
2.596 1.499 4.530
2.596 1.499 1.510
0.000 2.997 4.530